A plane-wave DFT calculation with PBE was carried out for a relaxed Ce3PtO crystal.

Unit cell a=4.7687 b=4.7687 c=4.7687 alpha=90.00 beta=90.00 gamma=90.00
Space group Pm-3m (No. 221)
Inequivalent atoms, fractional coordinates:
Ce: 0.0000 0.0000 0.5000 (multiplicity 3)
Pt: 0.5000 0.5000 0.5000 (multiplicity 1)
O: 0.0000 0.0000 0.0000 (multiplicity 1)

A plane-wave DFT calculation with PBE was carried out for a relaxed Ce2PtO crystal.

Unit cell a=3.1094 b=3.1094 c=7.3287 alpha=90.00 beta=90.00 gamma=90.00
Space group P4/mmm (No. 123)
Inequivalent atoms, fractional coordinates:
Ce: 0.0000 0.0000 0.2144 (multiplicity 2)
Pt: 0.5000 0.5000 0.5000 (multiplicity 1)
O: 0.5000 0.5000 0.0000 (multiplicity 1)

A plane-wave DFT calculation with PBE was carried out for a relaxed Ce2PtO crystal.

Unit cell a=6.1285 b=5.5208 c=11.4888 alpha=90.00 beta=116.57 gamma=90.00
Space group P2/c (No. 13)
Inequivalent atoms, fractional coordinates:
Ce: 0.0306 0.2414 0.0915 (multiplicity 4)
Ce: 0.3283 0.2711 0.8551 (multiplicity 4)
Pt: 0.4261 0.2292 0.3541 (multiplicity 4)
O: 0.0289 0.3159 0.6219 (multiplicity 4)

A plane-wave DFT calculation with PBE was carried out for a relaxed Ce2PtO crystal.

Unit cell a=3.7874 b=3.7874 c=19.7549 alpha=90.00 beta=90.00 gamma=120.00
Space group R-3m (No. 166, hexagonal axes)
Inequivalent atoms, fractional coordinates:
Ce: 0.0000 0.0000 0.2360 (multiplicity 6)
Pt: 0.0000 0.0000 0.0000 (multiplicity 3)
O: 0.0000 0.0000 0.5000 (multiplicity 3)

A plane-wave DFT calculation with PBE was carried out for a relaxed Ce4Pt2O crystal.

Unit cell a=4.7356 b=4.7356 c=14.8192 alpha=90.00 beta=90.00 gamma=90.00
Space group I4/mmm (No. 139)
Inequivalent atoms, fractional coordinates:
Ce: 0.0000 0.0000 0.1830 (multiplicity 4)
Ce: 0.0000 0.5000 0.0000 (multiplicity 4)
Pt: 0.0000 0.0000 0.3646 (multiplicity 4)
O: 0.0000 0.0000 0.0000 (multiplicity 2)

A plane-wave DFT calculation with PBE was carried out for a relaxed Ce2Pt2O7 crystal.

Unit cell a=10.5160 b=10.5160 c=10.5160 alpha=90.00 beta=90.00 gamma=90.00
Space group Fd-3m (No. 227, origin choice 2)
Inequivalent atoms, fractional coordinates:
Ce: 0.0000 0.0000 0.0000 (multiplicity 16)
Pt: 0.0000 0.0000 0.5000 (multiplicity 16)
O: 0.0920 0.3750 0.8750 (multiplicity 48)
O: 0.1250 0.1250 0.1250 (multiplicity 8)

A plane-wave DFT calculation with PBE was carried out for a relaxed RbCePtO4 crystal.

Unit cell a=6.1086 b=6.9614 c=12.5947 alpha=90.00 beta=90.00 gamma=90.00
Space group Imma (No. 74)
Inequivalent atoms, fractional coordinates:
Rb: 0.0000 0.2500 0.1677 (multiplicity 4)
Ce: 0.0000 0.0000 0.5000 (multiplicity 4)
Pt: 0.2500 0.2500 0.7500 (multiplicity 4)
O: 0.0000 0.0755 0.7084 (multiplicity 8)
O: 0.2111 0.2500 0.4849 (multiplicity 8)

A plane-wave DFT calculation with PBE was carried out for a relaxed Rb2CePt3O12 crystal.

Unit cell a=7.3049 b=7.3049 c=19.0585 alpha=90.00 beta=90.00 gamma=120.00
Space group R-3m (No. 166, hexagonal axes)
Inequivalent atoms, fractional coordinates:
Rb: 0.0000 0.0000 0.1131 (multiplicity 6)
Ce: 0.0000 0.0000 0.5000 (multiplicity 3)
Pt: 0.0000 0.5000 0.0000 (multiplicity 9)
O: 0.0443 0.5222 0.1012 (multiplicity 18)
O: 0.0555 0.5278 0.3460 (multiplicity 18)

A plane-wave DFT calculation with PBE was carried out for a relaxed RbCe2PtO8 crystal.

Unit cell a=4.2612 b=5.4594 c=7.6219 alpha=90.29 beta=105.32 gamma=95.09
Space group P-1 (No. 2)
Inequivalent atoms, fractional coordinates:
Rb: 0.0000 0.0000 0.0000 (multiplicity 1)
Ce: 0.3299 0.5080 0.6910 (multiplicity 2)
Pt: 0.5000 0.0000 0.5000 (multiplicity 1)
O: 0.1861 0.7234 0.3602 (multiplicity 2)
O: 0.2423 0.2925 0.4194 (multiplicity 2)
O: 0.3340 0.5153 0.0075 (multiplicity 2)
O: 0.3701 0.9231 0.7266 (multiplicity 2)

A plane-wave DFT calculation with PBE was carried out for a relaxed CeScPtO6 crystal.

Unit cell a=4.8991 b=4.8991 c=9.9231 alpha=90.00 beta=90.00 gamma=90.00
Space group P4_2nm (No. 102)
Inequivalent atoms, fractional coordinates:
Ce: 0.0000 0.0000 0.0000 (multiplicity 2)
Sc: 0.0000 0.0000 0.6626 (multiplicity 2)
Pt: 0.0000 0.0000 0.3289 (multiplicity 2)
O: 0.1810 0.1810 0.4869 (multiplicity 4)
O: 0.1978 0.1978 0.1800 (multiplicity 4)
O: 0.2112 0.2112 0.8222 (multiplicity 4)

A plane-wave DFT calculation with PBE was carried out for a relaxed Sr2CePtO5 crystal.

Unit cell a=6.5261 b=6.5261 c=6.0922 alpha=90.00 beta=90.00 gamma=90.00
Space group P4/mbm (No. 127)
Inequivalent atoms, fractional coordinates:
Sr: 0.1642 0.3358 0.0000 (multiplicity 4)
Ce: 0.0000 0.0000 0.5000 (multiplicity 2)
Pt: 0.0000 0.5000 0.5000 (multiplicity 2)
O: 0.0000 0.0000 0.0000 (multiplicity 2)
O: 0.1653 0.6653 0.2907 (multiplicity 8)

A plane-wave DFT calculation with PBE was carried out for a relaxed SrCePtO6 crystal.

Unit cell a=5.6387 b=5.6387 c=10.4416 alpha=90.00 beta=90.00 gamma=120.00
Space group P-31c (No. 163)
Inequivalent atoms, fractional coordinates:
Sr: 0.0000 0.0000 0.0000 (multiplicity 2)
Ce: 0.3333 0.6667 0.2500 (multiplicity 2)
Pt: 0.3333 0.6667 0.7500 (multiplicity 2)
O: 0.0346 0.3812 0.6442 (multiplicity 12)

A plane-wave DFT calculation with PBE was carried out for a relaxed SrCePt2O8 crystal.

Unit cell a=5.6001 b=5.6001 c=10.9375 alpha=90.00 beta=90.00 gamma=90.00
Space group I-4 (No. 82)
Inequivalent atoms, fractional coordinates:
Sr: 0.0000 0.0000 0.0000 (multiplicity 2)
Ce: 0.0000 0.5000 0.7500 (multiplicity 2)
Pt: 0.0000 0.0000 0.5000 (multiplicity 2)
Pt: 0.0000 0.5000 0.2500 (multiplicity 2)
O: 0.0842 0.3152 0.5492 (multiplicity 8)
O: 0.1541 0.7993 0.2171 (multiplicity 8)

A plane-wave DFT calculation with PBE was carried out for a relaxed CeTlPtO6 crystal.

Unit cell a=5.0142 b=5.0142 c=10.2151 alpha=90.00 beta=90.00 gamma=90.00
Space group P4_2nm (No. 102)
Inequivalent atoms, fractional coordinates:
Ce: 0.0000 0.0000 0.0000 (multiplicity 2)
Tl: 0.0000 0.0000 0.6679 (multiplicity 2)
Pt: 0.0000 0.0000 0.3335 (multiplicity 2)
O: 0.1816 0.1816 0.1807 (multiplicity 4)
O: 0.1847 0.1847 0.4808 (multiplicity 4)
O: 0.2205 0.2205 0.8385 (multiplicity 4)

A plane-wave DFT calculation with PBE was carried out for a relaxed CeTlPtO4 crystal.

Unit cell a=6.0873 b=6.9922 c=11.6209 alpha=90.00 beta=90.00 gamma=90.00
Space group Imma (No. 74)
Inequivalent atoms, fractional coordinates:
Ce: 0.0000 0.0000 0.0000 (multiplicity 4)
Tl: 0.0000 0.2500 0.3273 (multiplicity 4)
Pt: 0.2500 0.2500 0.7500 (multiplicity 4)
O: 0.0000 0.0707 0.7922 (multiplicity 8)
O: 0.2187 0.2500 0.0295 (multiplicity 8)

A plane-wave DFT calculation with PBE was carried out for a relaxed CeTmPtO6 crystal.

Unit cell a=4.9758 b=4.9758 c=10.1177 alpha=90.00 beta=90.00 gamma=90.00
Space group P4_2nm (No. 102)
Inequivalent atoms, fractional coordinates:
Ce: 0.0000 0.0000 0.0000 (multiplicity 2)
Tm: 0.0000 0.0000 0.6628 (multiplicity 2)
Pt: 0.0000 0.0000 0.3307 (multiplicity 2)
O: 0.1855 0.1855 0.4819 (multiplicity 4)
O: 0.1886 0.1886 0.1811 (multiplicity 4)
O: 0.2148 0.2148 0.8289 (multiplicity 4)

A plane-wave DFT calculation with PBE was carried out for a relaxed CePuO crystal.

Unit cell a=3.5611 b=3.5611 c=4.8814 alpha=90.00 beta=90.00 gamma=120.00
Space group P3m1 (No. 156)
Inequivalent atoms, fractional coordinates:
Ce: 0.0000 0.0000 0.0000 (multiplicity 1)
Pu: 0.3333 0.6667 0.5694 (multiplicity 1)
O: 0.6667 0.3333 0.3046 (multiplicity 1)

A plane-wave DFT calculation with PBE was carried out for a relaxed CePuO6 crystal.

Unit cell a=5.4764 b=9.0262 c=5.3712 alpha=90.00 beta=100.42 gamma=90.00
Space group C2/m (No. 12)
Inequivalent atoms, fractional coordinates:
Ce: 0.0000 0.0000 0.0000 (multiplicity 2)
Pu: 0.0000 0.5000 0.5000 (multiplicity 2)
O: 0.2042 0.3620 0.7213 (multiplicity 8)
O: 0.2447 0.0000 0.7360 (multiplicity 4)

A plane-wave DFT calculation with PBE was carried out for a relaxed Ce2PuO4 crystal.

Unit cell a=12.0351 b=3.5801 c=6.0923 alpha=90.00 beta=117.07 gamma=90.00
Space group C2/m (No. 12)
Inequivalent atoms, fractional coordinates:
Ce: 0.1939 0.0000 0.1962 (multiplicity 4)
Pu: 0.0000 0.5000 0.5000 (multiplicity 2)
O: 0.1367 0.5000 0.9291 (multiplicity 4)
O: 0.1470 0.0000 0.5292 (multiplicity 4)

A plane-wave DFT calculation with PBE was carried out for a relaxed Ce2PuO3 crystal.

Unit cell a=3.5129 b=3.5129 c=14.8651 alpha=90.00 beta=90.00 gamma=90.00
Space group I4/mmm (No. 139)
Inequivalent atoms, fractional coordinates:
Ce: 0.0000 0.0000 0.1661 (multiplicity 4)
Pu: 0.0000 0.0000 0.5000 (multiplicity 2)
O: 0.0000 0.0000 0.0000 (multiplicity 2)
O: 0.0000 0.0000 0.3345 (multiplicity 4)

Short version: size of the total moment = 1.99 0.00 1.92 1.52 3.67 1.58 0.00 1.19 1.05 0.00 0.08 2.00 2.55 0.57 0.00 0.00 6.51 0.00 7.89 4.95 μB/f.u., in the order given.
Short version: energy relative to the elements, uncorrected = -6.81 -6.07 -7.07 -6.97 -9.16 -21.06 -12.49 -17.54 -22.37 -19.47 -19.63 -16.77 -15.53 -12.33 -11.17 -19.87 -4.57 -18.79 -20.73 -16.46 eV per formula unit, in the order given.